The following is a PBE calculation of a relaxed NaNd2RhO5 crystal, from the Alexandria database.

Cell lengths 6.8264, 6.8264, 5.8144 Å; angles 90.00, 90.00, 90.00 degrees
Last column: nearest neighbours and their distance in Å.
Sites, in units of the cell vectors:
1 Na 0.0000 0.0000 0.0000  10 O 2.91-3.03
2 Na 0.5000 0.5000 0.0000  10 O 2.91-3.03
3 Nd 0.1768 0.3232 0.5000  8 O 2.33-2.59
4 Nd 0.3232 0.8232 0.5000  8 O 2.33-2.59
5 Nd 0.6768 0.1768 0.5000  8 O 2.33-2.59
6 Nd 0.8232 0.6768 0.5000  8 O 2.33-2.59
7 Rh 0.0000 0.5000 0.0000  4 O 1.95
8 Rh 0.5000 0.0000 0.0000  4 O 1.95
9 O 0.0000 0.0000 0.5000  4 Nd 2.51
10 O 0.1351 0.6351 0.2503  1 Rh 1.95
11 O 0.1351 0.6351 0.7497  1 Rh 1.95
12 O 0.3649 0.1351 0.2503  1 Rh 1.95
13 O 0.3649 0.1351 0.7497  1 Rh 1.95
14 O 0.5000 0.5000 0.5000  4 Nd 2.51
15 O 0.6351 0.8649 0.2503  1 Rh 1.95
16 O 0.6351 0.8649 0.7497  1 Rh 1.95
17 O 0.8649 0.3649 0.2503  1 Rh 1.95
18 O 0.8649 0.3649 0.7497  1 Rh 1.95

Computed properties:
For the theoretical density, the calculation gives 6.06 g/cm3. Its crystal system is tetragonal. The value obtained for the density of states at the Fermi level is 0.55 states/eV per atom. For the formation energy (no corrections), the calculation gives -2.198 eV/atom.

The following is a PBE calculation of a relaxed Ca4Sb8Pd3 crystal, from the Alexandria database.

Cell lengths 4.4964, 4.4964, 19.2904 Å; angles 90.00, 90.00, 90.00 degrees
Last column: nearest neighbours and their distance in Å.
Sites, in units of the cell vectors:
1 Ca 0.0000 0.5000 0.1184  2 Pd 3.20, 8 Sb 3.32-3.35
2 Ca 0.0000 0.5000 0.6249  4 Pd 3.29, 8 Sb 3.30-3.34
3 Ca 0.5000 0.0000 0.3751  4 Pd 3.29, 8 Sb 3.30-3.34
4 Ca 0.5000 0.0000 0.8816  2 Pd 3.20, 8 Sb 3.32-3.35
5 Sb 0.0000 0.0000 0.2472  4 Sb 3.18, 4 Ca 3.34-3.35
6 Sb 0.0000 0.0000 0.7528  4 Sb 3.18, 4 Ca 3.34-3.35
7 Sb 0.0000 0.5000 0.4214  4 Pd 2.71
8 Sb 0.0000 0.5000 0.9303  2 Pd 2.62
9 Sb 0.5000 0.0000 0.0697  2 Pd 2.62
10 Sb 0.5000 0.0000 0.5786  4 Pd 2.71
11 Sb 0.5000 0.5000 0.2475  4 Sb 3.18, 4 Ca 3.33-3.35
12 Sb 0.5000 0.5000 0.7525  4 Sb 3.18, 4 Ca 3.33-3.35
13 Pd 0.0000 0.0000 0.0000  4 Sb 2.62
14 Pd 0.0000 0.0000 0.5000  4 Sb 2.71
15 Pd 0.5000 0.5000 0.5000  4 Sb 2.71

Computed properties:
For the theoretical density, the calculation gives 6.19 g/cm3. Its crystal system is tetragonal. The value obtained for the density of states at the Fermi level is 0.71 states/eV per atom. For the formation energy (no corrections), the calculation gives -0.626 eV/atom.

The following is a PBE calculation of a relaxed Ni3BiBr crystal, from the Alexandria database.

Cell lengths 4.5178, 4.5178, 4.5178 Å; angles 90.00, 90.00, 90.00 degrees
Last column: nearest neighbours and their distance in Å.
Sites, in units of the cell vectors:
1 Ni 0.0000 0.0000 0.5000  2 Br 2.26
2 Ni 0.0000 0.5000 0.0000  2 Br 2.26
3 Ni 0.5000 0.0000 0.0000  2 Br 2.26
4 Bi 0.5000 0.5000 0.5000  12 Ni 3.19
5 Br 0.0000 0.0000 0.0000  6 Ni 2.26

Computed properties:
For the theoretical density, the calculation gives 8.37 g/cm3. As for the offset from the most stable computed form: 0 meV per atom. Its crystal system is cubic. The value obtained for the density of states at the Fermi level is 0.92 states/eV per atom. For the formation energy (no corrections), the calculation gives 0.710 eV/atom.

Question: theoretical density of number 1 (NaNd2RhO5)?
Answer: 6.06 g/cm3

Question: Number 2 is which compound?
Answer: Ca4Sb8Pd3

Question: Among the records above, which one has the lowest theoretical density?
Answer: NaNd2RhO5